[1]
Computed, not measured: crystalline Hf6Rh2N at its relaxed geometry at the PBE level of DFT.

Lattice parameters (Å, degrees): 5.9028 6.3564 8.9808 90.00 91.87 90.00
Positions (direct):
Hf 0.8784 0.9811 0.2566
Hf 0.8200 0.6915 0.5524
Hf 0.8114 0.6852 0.9458
Hf 0.6886 0.1852 0.5542
Hf 0.6800 0.1915 0.9476
Hf 0.6216 0.4811 0.2434
Hf 0.1216 0.0189 0.7434
Hf 0.1800 0.3085 0.4476
Hf 0.1886 0.3148 0.0542
Hf 0.3114 0.8148 0.4458
Hf 0.3200 0.8085 0.0524
Hf 0.3784 0.5189 0.7566
Rh 0.9454 0.4024 0.7545
Rh 0.5546 0.9024 0.7455
Rh 0.4454 0.0976 0.2545
Rh 0.0546 0.5976 0.2455
N 0.5000 0.5000 0.0000
N 0.0000 0.0000 0.5000

## Properties
formation energy without anion corrections = -0.76 eV/atom
N(E_F) = 14.5 states/eV per cell
energy = -9.9563 eV per atom
V = 336.8 Å³ per cell

---

[2]
Computed, not measured: crystalline HfRhN2 at its relaxed geometry at the PBE level of DFT.

Lattice parameters (Å, degrees): 4.6246 4.6246 6.0513 67.54 67.54 90.00
Positions (direct):
Rh 0.5000 0.5000 0.0000
Rh 0.2500 0.7500 0.5000
Hf 0.0000 0.0000 0.0000
Hf 0.7500 0.2500 0.5000
N 0.6244 0.1250 0.2500
N 0.1256 0.6250 0.2500
N 0.3750 0.3756 0.7500
N 0.8750 0.8744 0.7500

## Properties
formation energy without anion corrections = -0.50 eV/atom
N(E_F) = 4.5 states/eV per cell
energy = -8.9924 eV per atom
V = 108.9 Å³ per cell
ΔE to the lowest computed polymorph = 0.000 eV per atom

---

[3]
Computed, not measured: crystalline Hf5RhN at its relaxed geometry at the PBE level of DFT.

Lattice parameters (Å, degrees): 5.8654 5.8654 9.4769 68.74 68.74 60.40
Positions (direct):
Hf 0.9526 0.6253 0.1259
Hf 0.2035 0.5564 0.5303
Hf 0.6253 0.9526 0.6259
Hf 0.9577 0.0423 0.2500
Hf 0.4436 0.7965 0.9697
Hf 0.5564 0.2035 0.0303
Hf 0.0423 0.9577 0.7500
Hf 0.3747 0.0474 0.3741
Hf 0.7965 0.4436 0.4697
Hf 0.0474 0.3747 0.8741
Rh 0.4823 0.5177 0.2500
Rh 0.5177 0.4823 0.7500
N 0.0000 0.0000 0.0000
N 0.0000 0.0000 0.5000

## Properties
formation energy without anion corrections = -0.66 eV/atom
N(E_F) = 13.1 states/eV per cell
energy = -10.0056 eV per atom
V = 257.3 Å³ per cell